Compound: TaCrSb2
Source: Alexandria
Functional: PBE
Structure: relaxed

Results
Calculated total energy: -27.25 eV/cell
Crystal system: cubic
E_form (uncorrected): 0.618 eV per atom
Magnetization: 0.99 μB/f.u.
Polymorph energy (0 for the lowest one): 544 meV per atom

Unit cell a=4.819 b=4.819 c=4.819 alpha=60.00 beta=60.00 gamma=60.00
Atoms (fractional coordinates):
Ta 0.000 0.000 0.000
Cr 0.750 0.750 0.750
Sb 0.250 0.250 0.250
Sb 0.500 0.500 0.500


Compound: YF3
Source: Alexandria
Functional: PBE
Structure: relaxed

Results
Calculated total energy: -28.00 eV/cell
Crystal system: orthorhombic
E_form (uncorrected): -3.981 eV per atom
Magnetization: 0.00 μB/f.u.

Unit cell a=4.360 b=4.360 c=4.360 alpha=132.87 beta=85.72 gamma=113.22
Atoms (fractional coordinates):
Y 0.000 0.000 0.000
F 0.275 0.775 0.500
F 0.592 0.291 0.301
F 0.989 0.291 0.699


Compound: PmNd5Tm
Source: Alexandria
Functional: PBE
Structure: relaxed

Results
Calculated total energy: -64.70 eV/cell
Energy of formation: 102 meV/atom
Crystal system: monoclinic
Magnetization: 0.00 μB/f.u.

Unit cell a=6.643 b=6.643 c=11.791 alpha=102.94 beta=102.94 gamma=96.98
Atoms (fractional coordinates):
Pm 0.249 0.751 0.750
Pm 0.751 0.249 0.250
Nd 0.053 0.186 0.663
Nd 0.186 0.053 0.163
Nd 0.231 0.429 0.465
Nd 0.402 0.598 0.250
Nd 0.429 0.231 0.965
Nd 0.571 0.769 0.035
Nd 0.598 0.402 0.750
Nd 0.769 0.571 0.535
Nd 0.814 0.947 0.837
Nd 0.947 0.814 0.337
Tm 0.000 0.500 0.000
Tm 0.500 0.000 0.500


Compound: Ho2PaGa3Pt4
Source: Alexandria
Functional: PBE
Structure: relaxed

Results
Calculated total energy: -60.50 eV/cell
Energy of formation: -861 meV/atom
Crystal system: tetragonal
Magnetization: 0.00 μB/f.u.

Unit cell a=4.304 b=4.304 c=11.063 alpha=90.00 beta=90.00 gamma=90.00
Atoms (fractional coordinates):
Ho 0.000 0.500 0.217
Ho 0.500 0.000 0.783
Pa 0.000 0.000 0.500
Ga 0.000 0.500 0.877
Ga 0.500 0.000 0.123
Ga 0.500 0.500 0.500
Pt 0.000 0.000 0.000
Pt 0.000 0.500 0.655
Pt 0.500 0.000 0.345
Pt 0.500 0.500 0.000


Compound: K2TaMn
Source: Alexandria
Functional: PBE
Structure: relaxed

Results
Calculated total energy: -17.57 eV/cell
Energy of formation: 1412 meV/atom
Crystal system: orthorhombic
Magnetization: 2.17 μB/f.u.
Polymorph energy (0 for the lowest one): 676 meV per atom

Unit cell a=3.005 b=5.683 c=6.209 alpha=90.00 beta=90.00 gamma=90.00
Atoms (fractional coordinates):
K 0.000 0.250 0.000
K 0.000 0.750 0.000
Ta 0.500 0.000 0.500
Mn 0.500 0.500 0.500


Compound: Nb2CuGe
Source: Alexandria
Functional: PBE
Structure: relaxed

Results
Calculated total energy: -29.48 eV/cell
Energy of formation: -158 meV/atom
Crystal system: tetragonal
Magnetization: 0.00 μB/f.u.

Unit cell a=3.954 b=3.954 c=4.076 alpha=90.00 beta=90.00 gamma=90.00
Atoms (fractional coordinates):
Nb 0.000 0.500 0.000
Nb 0.500 0.000 0.000
Cu 0.000 0.000 0.500
Ge 0.500 0.500 0.500